Below is a relaxed Cs2ZrVO6 crystal, with properties calculated at the GGA+U level.

Summary:
N(E_F) = 2.84 states/eV/f.u.
Calculated total energy = -6.73 eV/atom

Unit cell a=6.693 b=6.693 c=5.461 alpha=90.00 beta=90.00 gamma=120.00
Fractional coordinates of all 10 atoms:
Cs 0.333 0.667 0.336
Cs 0.667 0.333 0.664
Zr 0.000 0.000 0.000
V 0.000 0.000 0.500
O 0.128 0.257 0.721
O 0.128 0.872 0.721
O 0.257 0.128 0.279
O 0.743 0.872 0.721
O 0.872 0.128 0.279
O 0.872 0.743 0.279